No. 1
Below is a geometry-optimized Dy2HfNpP4 structure, with properties calculated at the GGA-PBE level.

Cell lengths 6.747, 3.904, 6.776 Å; angles 90.00, 109.21, 90.00 degrees
Positions (direct):
Dy: 0.000 0.000 0.000
Dy: 0.500 0.500 0.000
Hf: 0.000 0.500 0.500
Np: 0.500 0.000 0.500
P: 0.238 0.000 0.735
P: 0.246 0.500 0.261
P: 0.754 0.500 0.739
P: 0.762 0.000 0.265

density of states at the Fermi level	1.159	states/eV/atom
formation energy	-1.346	eV/atom

No. 2
Below is a geometry-optimized In2MoAs structure, with properties calculated at the GGA-PBE level.

Cell lengths 4.123, 4.123, 9.325 Å; angles 90.00, 90.00, 90.00 degrees
Positions (direct):
In: 0.000 0.500 0.250
In: 0.000 0.500 0.750
In: 0.500 0.000 0.250
In: 0.500 0.000 0.750
Mo: 0.000 0.000 0.000
Mo: 0.500 0.500 0.500
As: 0.000 0.000 0.500
As: 0.500 0.500 0.000

density of states at the Fermi level	0.900	states/eV/atom
formation energy	0.485	eV/atom

No. 3
Below is a geometry-optimized AlGeI structure, with properties calculated at the GGA-PBE level.

Cell lengths 4.386, 4.422, 11.241 Å; angles 90.22, 90.79, 118.66 degrees
Positions (direct):
Al: 0.000 0.000 0.000
Al: 0.029 0.663 0.260
Ge: 0.320 0.301 0.237
Ge: 0.694 0.359 0.056
I: 0.069 0.117 0.779
I: 0.726 0.441 0.465

formation energy without anion corrections	-147	meV per atom
density of states at the Fermi level	0.013	states/eV/atom
energy above the lowest structure with this stoichiometry	112	meV per atom

No. 4
Below is a geometry-optimized Sm2RhAu structure, with properties calculated at the GGA-PBE level.

Cell lengths 4.083, 4.083, 21.590 Å; angles 90.00, 90.00, 120.00 degrees
Positions (direct):
Sm: 0.000 0.000 0.000
Sm: 0.000 0.000 0.187
Sm: 0.333 0.667 0.667
Sm: 0.333 0.667 0.854
Sm: 0.667 0.333 0.333
Sm: 0.667 0.333 0.520
Rh: 0.000 0.000 0.595
Rh: 0.333 0.667 0.261
Rh: 0.667 0.333 0.928
Au: 0.000 0.000 0.759
Au: 0.333 0.667 0.426
Au: 0.667 0.333 0.092

density of states at the Fermi level	0.529	states/eV/atom
formation energy	-0.701	eV/atom